{
  "formula": "MnCrAg2Au",
  "functional": "meta-GGA SCAN",
  "state": "single point on PBEsol structure",
  "dos_ef_per_ev_fu": 2.59,
  "space_group": "P4/mmm",
  "e_tot_ry_per_atom": -2.4153,
  "lattice_angstrom": [[5.008, 0.000, 0.000], [0.000, 5.008, 0.000], [0.000, 0.000, 4.840]],
  "species": ["Mn", "Cr", "Ag", "Ag", "Au"],
  "frac_coords": [[0.000, 0.000, 0.000], [0.500, 0.500, 0.000], [0.000, 0.500, 0.500], [0.500, 0.000, 0.500], [0.500, 0.500, 0.500]]
}